1.
Material: YInTePb2
Method: DFT, PBE
State: relaxed

Properties
ΔE_f (raw) = 0.508 eV/atom
V = 208.48 Å³/cell

Lattice parameters (Å, degrees): 5.957 5.875 5.957 90.00 90.00 90.00
Atoms (fractional coordinates):
Pb: 0.000 0.000 0.500
Pb: 0.500 0.000 0.000
In: 0.000 0.500 0.000
Te: 0.500 0.500 0.500
Y: 0.000 0.000 0.000


2.
Material: NbTe2Au2
Method: DFT, PBE
State: relaxed

Properties
ΔE_f (raw) = 0.755 eV/atom
V = 127.00 Å³/cell
Offset from the most stable computed form = 449 meV/atom

Lattice parameters (Å, degrees): 4.457 4.457 7.128 71.78 71.78 90.00
Each line ends with the local moment (μB).
Atoms (fractional coordinates):
Au: 0.601 0.601 0.798  0.01
Au: 0.399 0.399 0.202  0.01
Nb: 0.000 0.000 0.000  2.52
Te: 0.250 0.750 0.500  -0.07
Te: 0.750 0.250 0.500  -0.07


3.
Material: ZnIn2IrI
Method: DFT, PBE
State: relaxed

Properties
ΔE_f (raw) = -0.135 eV/atom
V = 138.45 Å³/cell

Lattice parameters (Å, degrees): 5.288 5.288 4.951 90.00 90.00 90.00
Atoms (fractional coordinates):
I: 0.500 0.500 0.500
In: 0.000 0.500 0.000
In: 0.500 0.000 0.000
Zn: 0.000 0.000 0.500
Ir: 0.000 0.000 0.000


4.
Material: LaIrRu
Method: DFT, PBE
State: relaxed

Properties
Energy of formation = -0.05 eV/atom
V = 60.65 Å³/cell
Offset from the most stable computed form = 203 meV/atom

Lattice parameters (Å, degrees): 5.685 5.685 5.685 149.88 138.59 52.05
Atoms (fractional coordinates):
Ir: 0.044 0.044 0.000
La: 0.335 0.335 0.000
Ru: 0.621 0.621 0.000


5.
Material: PbCl3F
Method: DFT, PBE
State: relaxed

Properties
ΔE_f (raw) = -0.283 eV/atom
V = 106.34 Å³/cell
Offset from the most stable computed form = 115 meV/atom

Lattice parameters (Å, degrees): 4.738 4.738 4.738 90.00 90.00 90.00
Atoms (fractional coordinates):
Pb: 0.500 0.500 0.500
F: 0.000 0.000 0.000
Cl: 0.500 0.000 0.000
Cl: 0.000 0.500 0.000
Cl: 0.000 0.000 0.500


6.
Material: Pm2NiSn
Method: DFT, PBE
State: relaxed

Properties
Energy of formation = 0.21 eV/atom
V = 104.50 Å³/cell

Lattice parameters (Å, degrees): 3.374 3.374 10.775 80.99 80.99 60.00
Atoms (fractional coordinates):
Sn: 0.500 0.500 0.500
Pm: 0.919 0.919 0.243
Pm: 0.081 0.081 0.757
Ni: 0.000 0.000 0.000


7.
Material: CaSnAsPb2
Method: DFT, PBE
State: relaxed

Properties
Energy of formation = 0.89 eV/atom
V = 192.76 Å³/cell

Lattice parameters (Å, degrees): 5.805 5.720 5.805 90.00 90.00 90.00
Each line ends with the local moment (μB).
Atoms (fractional coordinates):
Pb: 0.000 0.000 0.500  0.06
Pb: 0.500 0.000 0.000  0.08
Sn: 0.000 0.500 0.000  0.12
Ca: 0.000 0.000 0.000  0.14
As: 0.500 0.500 0.500  0.02


8.
Material: CeNpMnN3
Method: DFT, PBE
State: relaxed

Properties
ΔE_f (raw) = -0.972 eV/atom
V = 169.47 Å³/cell

Lattice parameters (Å, degrees): 3.315 7.260 7.163 100.60 90.00 90.00
Each line ends with the local moment (μB).
Atoms (fractional coordinates):
N: 0.250 0.579 0.865  -0.12
N: 0.250 0.123 0.855  -0.07
N: 0.750 0.421 0.135  -0.12
N: 0.750 0.877 0.145  -0.07
N: 0.250 0.823 0.530  0.01
N: 0.750 0.177 0.470  0.01
Mn: 0.750 0.908 0.418  -0.55
Mn: 0.250 0.092 0.582  -0.55
Ce: 0.250 0.171 0.198  0.23
Ce: 0.750 0.829 0.802  0.23
Np: 0.750 0.348 0.818  2.74
Np: 0.250 0.652 0.182  2.74


9.
Material: VCrCoPd2
Method: DFT, PBE
State: relaxed

Properties
Energy of formation = 1.12 eV/atom
V = 86.11 Å³/cell

Lattice parameters (Å, degrees): 4.629 4.019 4.629 90.00 90.00 90.00
Each line ends with the local moment (μB).
Atoms (fractional coordinates):
Co: 0.500 0.500 0.500  2.10
V: 0.000 0.500 0.000  -0.13
Pd: 0.500 0.000 0.000  0.04
Pd: 0.000 0.000 0.500  -0.02
Cr: 0.000 0.000 0.000  0.06


10.
Material: YTlAs2
Method: DFT, PBE
State: relaxed

Properties
Energy of formation = -0.46 eV/atom
V = 105.75 Å³/cell
Offset from the most stable computed form = 160 meV/atom

Lattice parameters (Å, degrees): 7.369 7.369 7.369 33.02 33.02 33.02
Atoms (fractional coordinates):
As: 0.005 0.005 0.005
As: 0.495 0.495 0.495
Tl: 0.250 0.250 0.250
Y: 0.750 0.750 0.750


11.
Material: BHRh
Method: DFT, PBE
State: relaxed

Properties
V = 25.24 Å³/cell
Offset from the most stable computed form = 318 meV/atom

Lattice parameters (Å, degrees): 2.777 2.777 3.817 111.33 111.33 90.00
Atoms (fractional coordinates):
Rh: 0.912 0.912 0.824
B: 0.582 0.582 0.164
H: 0.356 0.356 0.712


12.
Material: PaAs2IrRh2
Method: DFT, PBE
State: relaxed

Properties
Energy of formation = -0.59 eV/atom
V = 214.07 Å³/cell

Lattice parameters (Å, degrees): 3.650 7.687 7.630 90.00 90.00 90.00
Atoms (fractional coordinates):
Ir: 0.500 0.173 0.618
Ir: 0.500 0.673 0.382
Rh: 0.500 0.960 0.131
Rh: 0.000 0.945 0.818
Rh: 0.000 0.445 0.182
Rh: 0.500 0.460 0.869
Pa: 0.000 0.466 0.575
Pa: 0.000 0.966 0.425
As: 0.000 0.742 0.076
As: 0.500 0.760 0.706
As: 0.000 0.242 0.924
As: 0.500 0.260 0.294